[1]
# NdSO4

Crystalline NdSO4 at its relaxed geometry (PBE, the Alexandria database).

Calculated values
Density of states at the Fermi level   0.187 states/eV/atom
Energy relative to the elements, uncorrected   -1.85 eV/atom
Crystal system   tetragonal
Electronic total energy   -159.3 eV for the cell shown

Structure (CIF):
```
data_NdSO4
_chemical_formula_sum 'Nd4 S4 O16'
_symmetry_space_group_name_H-M 'I 41/a m d'
_symmetry_Int_Tables_number 141
_cell_length_a 7.362
_cell_length_b 7.362
_cell_length_c 6.396
_cell_angle_alpha 90.00
_cell_angle_beta 90.00
_cell_angle_gamma 90.00
loop_
_symmetry_equiv_pos_as_xyz
'x,y,z'
'-x,-y,-z'
'-y+1/4,x+3/4,z+1/4'
'y+1/4,-x+3/4,-z+1/4'
'-x+1/2,-y,z+1/2'
'x+1/2,y,-z+1/2'
'y+1/4,-x+1/4,z+3/4'
'-y+1/4,x+1/4,-z+3/4'
'x,-y,-z'
'-x,y,z'
'-y+1/4,-x+1/4,-z+3/4'
'y+1/4,x+1/4,z+3/4'
'-x+1/2,y,-z+1/2'
'x+1/2,-y,z+1/2'
'y+1/4,x+3/4,-z+1/4'
'-y+1/4,-x+3/4,z+1/4'
'x+1/2,y+1/2,z+1/2'
'-x+1/2,-y+1/2,-z+1/2'
'-y+3/4,x+1/4,z+3/4'
'y+3/4,-x+1/4,-z+3/4'
'-x,-y+1/2,z'
'x,y+1/2,-z'
'y+3/4,-x+3/4,z+1/4'
'-y+3/4,x+3/4,-z+1/4'
'x+1/2,-y+1/2,-z+1/2'
'-x+1/2,y+1/2,z+1/2'
'-y+3/4,-x+3/4,-z+1/4'
'y+3/4,x+3/4,z+1/4'
'-x,y+1/2,-z'
'x,-y+1/2,z'
'y+3/4,x+1/4,-z+3/4'
'-y+3/4,-x+1/4,z+3/4'
loop_
_atom_site_label
_atom_site_type_symbol
_atom_site_fract_x
_atom_site_fract_y
_atom_site_fract_z
_atom_site_occupancy
Nd1 Nd 0.000 0.250 0.375 1
S1 S 0.000 0.250 0.875 1
O1 O 0.000 0.080 0.710 1
```

=====

[2]
# NdSbSO2

Crystalline NdSbSO2 at its relaxed geometry (PBE, the Alexandria database).

Calculated values
Density of states at the Fermi level   0.000 states/eV/atom
Energy relative to the elements, uncorrected   -1.96 eV/atom
Crystal system   monoclinic
Electronic total energy   -65.5 eV for the cell shown

Structure (CIF):
```
data_NdSbSO2
_chemical_formula_sum 'Nd2 Sb2 S2 O4'
_symmetry_space_group_name_H-M 'P 1 21/m 1'
_symmetry_Int_Tables_number 11
_cell_length_a 6.565
_cell_length_b 4.003
_cell_length_c 7.660
_cell_angle_alpha 90.00
_cell_angle_beta 104.91
_cell_angle_gamma 90.00
loop_
_symmetry_equiv_pos_as_xyz
'x,y,z'
'-x,-y,-z'
'-x,y+1/2,-z'
'x,-y+1/2,z'
loop_
_atom_site_label
_atom_site_type_symbol
_atom_site_fract_x
_atom_site_fract_y
_atom_site_fract_z
_atom_site_occupancy
Nd1 Nd 0.210 0.250 0.416 1
Sb1 Sb 0.180 0.250 0.919 1
S1 S 0.445 0.750 0.277 1
O1 O 0.018 0.250 0.647 1
O2 O 0.028 0.750 0.900 1
```

=====

[3]
# NdSbS2O

Crystalline NdSbS2O at its relaxed geometry (PBE, the Alexandria database).

Calculated values
Energy relative to the elements, uncorrected   -1.65 eV/atom
Crystal system   tetragonal
Electronic total energy   -60.7 eV for the cell shown

Structure (CIF):
```
data_NdSbS2O
_chemical_formula_sum 'Nd2 Sb2 S4 O2'
_symmetry_space_group_name_H-M 'P 4/n m m'
_symmetry_Int_Tables_number 129
_cell_length_a 3.960
_cell_length_b 3.960
_cell_length_c 14.001
_cell_angle_alpha 90.00
_cell_angle_beta 90.00
_cell_angle_gamma 90.00
loop_
_symmetry_equiv_pos_as_xyz
'x,y,z'
'-x,-y,-z'
'-y+1/2,x,z'
'y+1/2,-x,-z'
'-x+1/2,-y+1/2,z'
'x+1/2,y+1/2,-z'
'y,-x+1/2,z'
'-y,x+1/2,-z'
'x+1/2,-y,-z'
'-x+1/2,y,z'
'-y,-x,-z'
'y,x,z'
'-x,y+1/2,-z'
'x,-y+1/2,z'
'y+1/2,x+1/2,-z'
'-y+1/2,-x+1/2,z'
loop_
_atom_site_label
_atom_site_type_symbol
_atom_site_fract_x
_atom_site_fract_y
_atom_site_fract_z
_atom_site_occupancy
Nd1 Nd 0.250 0.250 0.088 1
Sb1 Sb 0.250 0.250 0.634 1
S1 S 0.250 0.250 0.385 1
S2 S 0.250 0.250 0.807 1
O1 O 0.250 0.750 0.000 1
```

=====

[4]
# NdScSO2

Crystalline NdScSO2 at its relaxed geometry (PBE, the Alexandria database).

Calculated values
Density of states at the Fermi level   0.000 states/eV/atom
Energy relative to the elements, uncorrected   -3.01 eV/atom
Crystal system   monoclinic
Electronic total energy   -80.3 eV for the cell shown

Structure (CIF):
```
data_NdScSO2
_chemical_formula_sum 'Nd2 Sc2 S2 O4'
_symmetry_space_group_name_H-M 'P 1 21/m 1'
_symmetry_Int_Tables_number 11
_cell_length_a 6.840
_cell_length_b 4.057
_cell_length_c 7.482
_cell_angle_alpha 90.00
_cell_angle_beta 115.77
_cell_angle_gamma 90.00
loop_
_symmetry_equiv_pos_as_xyz
'x,y,z'
'-x,-y,-z'
'-x,y+1/2,-z'
'x,-y+1/2,z'
loop_
_atom_site_label
_atom_site_type_symbol
_atom_site_fract_x
_atom_site_fract_y
_atom_site_fract_z
_atom_site_occupancy
Nd1 Nd 0.245 0.250 0.048 1
Sc1 Sc 0.303 0.750 0.451 1
S1 S 0.271 0.750 0.773 1
O1 O 0.138 0.750 0.147 1
O2 O 0.365 0.250 0.411 1
```

=====

[5]
# Nd8Se4S3O

Crystalline Nd8Se4S3O at its relaxed geometry (PBE, the Alexandria database).

Calculated values
Density of states at the Fermi level   0.270 states/eV/atom
Energy relative to the elements, uncorrected   -1.98 eV/atom
Crystal system   trigonal
Electronic total energy   -303.2 eV for the cell shown

Structure (CIF):
```
data_Nd8Se4S3O
_chemical_formula_sum 'Nd24 Se12 S9 O3'
_symmetry_space_group_name_H-M 'R -3 m'
_symmetry_Int_Tables_number 166
_symmetry_space_group_name_Hall '-R 3 2"'
_cell_length_a 8.1626
_cell_length_b 8.1626
_cell_length_c 20.2940
_cell_angle_alpha 90.00
_cell_angle_beta 90.00
_cell_angle_gamma 120.00
loop_
_atom_site_label
_atom_site_type_symbol
_atom_site_fract_x
_atom_site_fract_y
_atom_site_fract_z
_atom_site_occupancy
Nd1 Nd 0.0000 0.0000 0.2425 1
Nd2 Nd 0.0199 0.5099 0.2387 1
Se1 Se 0.0000 0.0000 0.0000 1
Se2 Se 0.0000 0.5000 0.0000 1
S1 S 0.0000 0.5000 0.5000 1
O1 O 0.0000 0.0000 0.5000 1
```

=====

[6]
# Nd4Si2S3O7

Crystalline Nd4Si2S3O7 at its relaxed geometry (PBE, the Alexandria database).

Calculated values
Density of states at the Fermi level   0.000 states/eV/atom
Energy relative to the elements, uncorrected   -2.85 eV/atom
Crystal system   tetragonal
Electronic total energy   -980.6 eV for the cell shown

Structure (CIF):
```
data_Nd4Si2S3O7
_chemical_formula_sum 'Nd32 Si16 S24 O56'
_symmetry_space_group_name_H-M 'I 41/a m d'
_symmetry_Int_Tables_number 141
_cell_length_a 12.037
_cell_length_b 12.037
_cell_length_c 14.219
_cell_angle_alpha 90.00
_cell_angle_beta 90.00
_cell_angle_gamma 90.00
loop_
_symmetry_equiv_pos_as_xyz
'x,y,z'
'-x,-y,-z'
'-y+1/4,x+3/4,z+1/4'
'y+1/4,-x+3/4,-z+1/4'
'-x+1/2,-y,z+1/2'
'x+1/2,y,-z+1/2'
'y+1/4,-x+1/4,z+3/4'
'-y+1/4,x+1/4,-z+3/4'
'x,-y,-z'
'-x,y,z'
'-y+1/4,-x+1/4,-z+3/4'
'y+1/4,x+1/4,z+3/4'
'-x+1/2,y,-z+1/2'
'x+1/2,-y,z+1/2'
'y+1/4,x+3/4,-z+1/4'
'-y+1/4,-x+3/4,z+1/4'
'x+1/2,y+1/2,z+1/2'
'-x+1/2,-y+1/2,-z+1/2'
'-y+3/4,x+1/4,z+3/4'
'y+3/4,-x+1/4,-z+3/4'
'-x,-y+1/2,z'
'x,y+1/2,-z'
'y+3/4,-x+3/4,z+1/4'
'-y+3/4,x+3/4,-z+1/4'
'x+1/2,-y+1/2,-z+1/2'
'-x+1/2,y+1/2,z+1/2'
'-y+3/4,-x+3/4,-z+1/4'
'y+3/4,x+3/4,z+1/4'
'-x,y+1/2,-z'
'x,-y+1/2,z'
'y+3/4,x+1/4,-z+3/4'
'-y+3/4,-x+1/4,z+3/4'
loop_
_atom_site_label
_atom_site_type_symbol
_atom_site_fract_x
_atom_site_fract_y
_atom_site_fract_z
_atom_site_occupancy
Nd1 Nd 0.000 0.013 0.343 1
Nd2 Nd 0.172 0.078 0.875 1
Si1 Si 0.000 0.126 0.098 1
S1 S 0.000 0.250 0.375 1
S2 S 0.000 0.250 0.875 1
S3 S 0.149 0.000 0.500 1
O1 O 0.000 0.023 0.175 1
O2 O 0.000 0.250 0.146 1
O3 O 0.119 0.109 0.043 1
```

=====

[7]
# SrNdS2O8

Crystalline SrNdS2O8 at its relaxed geometry (PBE, the Alexandria database).

Calculated values
Density of states at the Fermi level   0.162 states/eV/atom
Energy relative to the elements, uncorrected   -2.03 eV/atom
Crystal system   trigonal
Electronic total energy   -78.7 eV for the cell shown

Structure (CIF):
```
data_SrNdS2O8
_chemical_formula_sum 'Sr1 Nd1 S2 O8'
_symmetry_space_group_name_H-M 'P -3 m 1'
_symmetry_Int_Tables_number 164
_symmetry_space_group_name_Hall '-P 3 2"'
_cell_length_a 5.2275
_cell_length_b 5.2275
_cell_length_c 8.0408
_cell_angle_alpha 90.00
_cell_angle_beta 90.00
_cell_angle_gamma 120.00
loop_
_atom_site_label
_atom_site_type_symbol
_atom_site_fract_x
_atom_site_fract_y
_atom_site_fract_z
_atom_site_occupancy
Sr1 Sr 0.0000 0.0000 0.0000 1
Nd1 Nd 0.0000 0.0000 0.5000 1
S1 S 0.3333 0.6667 0.7931 1
O1 O 0.1777 0.3553 0.7323 1
O2 O 0.3333 0.6667 0.9770 1
```

=====

[8]
# TbNdS2O

Crystalline TbNdS2O at its relaxed geometry (PBE, the Alexandria database).

Calculated values
Density of states at the Fermi level   0.143 states/eV/atom
Energy relative to the elements, uncorrected   -2.49 eV/atom
Crystal system   tetragonal
Electronic total energy   -70.1 eV for the cell shown

Structure (CIF):
```
data_TbNdS2O
_chemical_formula_sum 'Tb2 Nd2 S4 O2'
_symmetry_space_group_name_H-M 'P 4/n m m'
_symmetry_Int_Tables_number 129
_cell_length_a 3.954
_cell_length_b 3.954
_cell_length_c 14.049
_cell_angle_alpha 90.00
_cell_angle_beta 90.00
_cell_angle_gamma 90.00
loop_
_symmetry_equiv_pos_as_xyz
'x,y,z'
'-x,-y,-z'
'-y+1/2,x,z'
'y+1/2,-x,-z'
'-x+1/2,-y+1/2,z'
'x+1/2,y+1/2,-z'
'y,-x+1/2,z'
'-y,x+1/2,-z'
'x+1/2,-y,-z'
'-x+1/2,y,z'
'-y,-x,-z'
'y,x,z'
'-x,y+1/2,-z'
'x,-y+1/2,z'
'y+1/2,x+1/2,-z'
'-y+1/2,-x+1/2,z'
loop_
_atom_site_label
_atom_site_type_symbol
_atom_site_fract_x
_atom_site_fract_y
_atom_site_fract_z
_atom_site_occupancy
Tb1 Tb 0.250 0.250 0.122 1
Nd1 Nd 0.250 0.250 0.588 1
S1 S 0.250 0.250 0.301 1
S2 S 0.250 0.250 0.909 1
O1 O 0.250 0.750 0.500 1
```

=====

[9]
# TbNdSO2

Crystalline TbNdSO2 at its relaxed geometry (PBE, the Alexandria database).

Calculated values
Density of states at the Fermi level   0.000 states/eV/atom
Energy relative to the elements, uncorrected   -3.00 eV/atom
Crystal system   tetragonal
Electronic total energy   -76.9 eV for the cell shown

Structure (CIF):
```
data_TbNdSO2
_chemical_formula_sum 'Tb2 Nd2 S2 O4'
_symmetry_space_group_name_H-M 'I 4 m m'
_symmetry_Int_Tables_number 107
_symmetry_space_group_name_Hall 'I 4 -2'
_cell_length_a 3.855
_cell_length_b 3.855
_cell_length_c 12.234
_cell_angle_alpha 90.00
_cell_angle_beta 90.00
_cell_angle_gamma 90.00
loop_
_atom_site_label
_atom_site_type_symbol
_atom_site_fract_x
_atom_site_fract_y
_atom_site_fract_z
_atom_site_occupancy
Tb1 Tb 0.000 0.000 0.000 1
Nd1 Nd 0.000 0.000 0.303 1
S1 S 0.000 0.000 0.655 1
O1 O 0.000 0.500 0.409 1
```

=====

[10]
# NdThS2O

Crystalline NdThS2O at its relaxed geometry (PBE, the Alexandria database).

Calculated values
Density of states at the Fermi level   0.263 states/eV/atom
Energy relative to the elements, uncorrected   -2.43 eV/atom
Crystal system   tetragonal
Electronic total energy   -75.1 eV for the cell shown

Structure (CIF):
```
data_NdThS2O
_chemical_formula_sum 'Nd2 Th2 S4 O2'
_symmetry_space_group_name_H-M 'P 4/n m m'
_symmetry_Int_Tables_number 129
_cell_length_a 4.019
_cell_length_b 4.019
_cell_length_c 13.893
_cell_angle_alpha 90.00
_cell_angle_beta 90.00
_cell_angle_gamma 90.00
loop_
_symmetry_equiv_pos_as_xyz
'x,y,z'
'-x,-y,-z'
'-y+1/2,x,z'
'y+1/2,-x,-z'
'-x+1/2,-y+1/2,z'
'x+1/2,y+1/2,-z'
'y,-x+1/2,z'
'-y,x+1/2,-z'
'x+1/2,-y,-z'
'-x+1/2,y,z'
'-y,-x,-z'
'y,x,z'
'-x,y+1/2,-z'
'x,-y+1/2,z'
'y+1/2,x+1/2,-z'
'-y+1/2,-x+1/2,z'
loop_
_atom_site_label
_atom_site_type_symbol
_atom_site_fract_x
_atom_site_fract_y
_atom_site_fract_z
_atom_site_occupancy
Nd1 Nd 0.250 0.250 0.087 1
Th1 Th 0.250 0.250 0.613 1
S1 S 0.250 0.250 0.393 1
S2 S 0.250 0.250 0.802 1
O1 O 0.250 0.750 0.000 1
```

=====

[11]
# NdUS2O

Crystalline NdUS2O at its relaxed geometry (PBE, the Alexandria database).

Calculated values
Density of states at the Fermi level   0.955 states/eV/atom
Energy relative to the elements, uncorrected   -2.18 eV/atom
Crystal system   tetragonal
Electronic total energy   -80.4 eV for the cell shown

Structure (CIF):
```
data_NdUS2O
_chemical_formula_sum 'Nd2 U2 S4 O2'
_symmetry_space_group_name_H-M 'P 4/n m m'
_symmetry_Int_Tables_number 129
_cell_length_a 3.937
_cell_length_b 3.937
_cell_length_c 13.703
_cell_angle_alpha 90.00
_cell_angle_beta 90.00
_cell_angle_gamma 90.00
loop_
_symmetry_equiv_pos_as_xyz
'x,y,z'
'-x,-y,-z'
'-y+1/2,x,z'
'y+1/2,-x,-z'
'-x+1/2,-y+1/2,z'
'x+1/2,y+1/2,-z'
'y,-x+1/2,z'
'-y,x+1/2,-z'
'x+1/2,-y,-z'
'-x+1/2,y,z'
'-y,-x,-z'
'y,x,z'
'-x,y+1/2,-z'
'x,-y+1/2,z'
'y+1/2,x+1/2,-z'
'-y+1/2,-x+1/2,z'
loop_
_atom_site_label
_atom_site_type_symbol
_atom_site_fract_x
_atom_site_fract_y
_atom_site_fract_z
_atom_site_occupancy
Nd1 Nd 0.250 0.250 0.090 1
U1 U 0.250 0.250 0.609 1
S1 S 0.250 0.250 0.404 1
S2 S 0.250 0.250 0.797 1
O1 O 0.250 0.750 0.000 1
```

=====

[12]
# NdYSO2

Crystalline NdYSO2 at its relaxed geometry (PBE, the Alexandria database).

Calculated values
Density of states at the Fermi level   0.000 states/eV/atom
Energy relative to the elements, uncorrected   -2.98 eV/atom
Crystal system   tetragonal
Electronic total energy   -80.4 eV for the cell shown

Structure (CIF):
```
data_NdYSO2
_chemical_formula_sum 'Nd2 Y2 S2 O4'
_symmetry_space_group_name_H-M 'I 4 m m'
_symmetry_Int_Tables_number 107
_symmetry_space_group_name_Hall 'I 4 -2'
_cell_length_a 3.856
_cell_length_b 3.856
_cell_length_c 12.218
_cell_angle_alpha 90.00
_cell_angle_beta 90.00
_cell_angle_gamma 90.00
loop_
_atom_site_label
_atom_site_type_symbol
_atom_site_fract_x
_atom_site_fract_y
_atom_site_fract_z
_atom_site_occupancy
Nd1 Nd 0.000 0.000 0.000 1
Y1 Y 0.000 0.000 0.696 1
S1 S 0.000 0.000 0.352 1
O1 O 0.000 0.500 0.105 1
```

=====

Q: energy relative to the elements, uncorrected of number 5 (Nd8Se4S3O)?
A: -1.98 eV/atom